Compound: Au3NCl
Source: Alexandria
Functional: PBE
Structure: optimized geometry

Summary:
Total DFT energy (no corrections) = -15.9 eV/f.u.
E above lowest polymorph = 0.0000 eV per atom
ΔE_f (raw) = 0.814 eV per atom

Cell: 4.458 4.458 4.458 Å, 90.00 90.00 90.00°
Positions (direct):
Au (0.000, 0.000, 0.500)
Au (0.000, 0.500, 0.000)
Au (0.500, 0.000, 0.000)
N (0.000, 0.000, 0.000)
Cl (0.500, 0.500, 0.500)